[1]
DFT (PBE-GGA) results for an optimized crystal structure of Fe2CoRuBr.

Lattice parameters (Å, degrees): 4.353 4.238 4.353 90.00 90.00 90.00
Last column: magnetic moment on the atom in μB.
Element x y z (fractional)
Ru: 0.500 0.500 0.500  2.00
Co: 0.000 0.500 0.000  1.15
Fe: 0.000 0.000 0.500  2.30
Fe: 0.500 0.000 0.000  2.57
Br: 0.000 0.000 0.000  -0.01

Properties
calculated volume: 80 Å³/cell
uncorrected energy: -5.619 eV/atom



[2]
DFT (PBE-GGA) results for an optimized crystal structure of FeCoSe2Br.

Lattice parameters (Å, degrees): 4.647 4.647 4.904 90.00 90.00 90.00
Last column: magnetic moment on the atom in μB.
Element x y z (fractional)
Co: 0.000 0.000 0.000  0.11
Se: 0.000 0.500 0.000  0.10
Se: 0.500 0.000 0.000  0.10
Br: 0.000 0.000 0.500  0.07
Fe: 0.500 0.500 0.500  3.39

Properties
calculated volume: 106 Å³/cell
uncorrected energy: -4.216 eV/atom



[3]
DFT (PBE-GGA) results for an optimized crystal structure of GaCoBr4.

Lattice parameters (Å, degrees): 7.290 7.290 8.944 90.00 90.00 90.00
Last column: magnetic moment on the atom in μB.
Element x y z (fractional)
Ga: 0.000 0.500 0.000  -0.02
Ga: 0.500 0.000 0.500  -0.02
Co: 0.000 0.000 0.500  2.16
Co: 0.000 0.000 0.000  2.16
Br: 0.758 0.235 0.500  0.06
Br: 0.765 0.242 0.000  0.06
Br: 0.758 0.765 0.500  0.06
Br: 0.235 0.758 0.000  0.06
Br: 0.242 0.765 0.500  0.06
Br: 0.235 0.242 0.000  0.06
Br: 0.765 0.758 0.000  0.06
Br: 0.242 0.235 0.500  0.06

Properties
calculated volume: 475 Å³/cell
uncorrected energy: -3.104 eV/atom



[4]
DFT (PBE-GGA) results for an optimized crystal structure of GaCo3Br.

Lattice parameters (Å, degrees): 4.357 4.357 4.357 90.00 90.00 90.00
Last column: magnetic moment on the atom in μB.
Element x y z (fractional)
Co: 0.000 0.500 0.000  1.12
Co: 0.000 0.000 0.500  0.87
Co: 0.500 0.000 0.000  1.16
Ga: 0.500 0.500 0.500  0.06
Br: 0.000 0.000 0.000  0.00

Properties
calculated volume: 83 Å³/cell
uncorrected energy: -4.135 eV/atom



[5]
DFT (PBE-GGA) results for an optimized crystal structure of Ga2CoBr.

Lattice parameters (Å, degrees): 5.977 5.977 7.132 65.23 65.23 90.00
Last column: magnetic moment on the atom in μB.
Element x y z (fractional)
Co: 0.500 0.500 0.000  0.31
Co: 0.250 0.750 0.500  0.31
Ga: 0.540 0.125 0.250  -0.03
Ga: 0.210 0.625 0.250  -0.02
Ga: 0.375 0.460 0.750  -0.02
Ga: 0.875 0.790 0.750  -0.03
Br: 0.000 0.000 0.000  0.00
Br: 0.750 0.250 0.500  0.00

Properties
calculated volume: 205 Å³/cell
uncorrected energy: -3.503 eV/atom



[6]
DFT (PBE-GGA) results for an optimized crystal structure of GaCo2Br.

Lattice parameters (Å, degrees): 4.317 4.317 4.317 60.00 60.00 60.00
Last column: magnetic moment on the atom in μB.
Element x y z (fractional)
Co: 0.250 0.250 0.250  1.06
Co: 0.750 0.750 0.750  1.06
Ga: 0.000 0.000 0.000  -0.08
Br: 0.500 0.500 0.500  0.04

Properties
calculated volume: 57 Å³/cell
uncorrected energy: -4.167 eV/atom



[7]
DFT (PBE-GGA) results for an optimized crystal structure of Ga2CoBr.

Lattice parameters (Å, degrees): 4.951 4.951 4.951 60.00 60.00 60.00
Last column: magnetic moment on the atom in μB.
Element x y z (fractional)
Co: 0.000 0.000 0.000  1.94
Ga: 0.250 0.250 0.250  -0.04
Ga: 0.750 0.750 0.750  -0.04
Br: 0.500 0.500 0.500  0.03

Properties
calculated volume: 86 Å³/cell
uncorrected energy: -3.132 eV/atom



[8]
DFT (PBE-GGA) results for an optimized crystal structure of GaCo2Br.

Lattice parameters (Å, degrees): 5.156 5.156 6.911 68.10 68.10 90.00
Last column: magnetic moment on the atom in μB.
Element x y z (fractional)
Co: 0.626 0.125 0.250  1.12
Co: 0.124 0.625 0.250  1.12
Co: 0.375 0.374 0.750  1.08
Co: 0.875 0.876 0.750  1.07
Ga: 0.500 0.500 0.000  -0.13
Ga: 0.250 0.750 0.500  -0.13
Br: 0.000 0.000 0.000  0.05
Br: 0.750 0.250 0.500  0.05

Properties
calculated volume: 156 Å³/cell
uncorrected energy: -4.137 eV/atom



[9]
DFT (PBE-GGA) results for an optimized crystal structure of GaCoBr3.

Lattice parameters (Å, degrees): 5.242 5.242 5.242 90.00 90.00 90.00
Last column: magnetic moment on the atom in μB.
Element x y z (fractional)
Ga: 0.000 0.000 0.000  0.00
Co: 0.500 0.500 0.500  2.32
Br: 0.000 0.500 0.000  0.01
Br: 0.000 0.000 0.500  0.01
Br: 0.500 0.000 0.000  0.01

Properties
calculated volume: 144 Å³/cell
uncorrected energy: -2.688 eV/atom



[10]
DFT (PBE-GGA) results for an optimized crystal structure of Ga3CoBr.

Lattice parameters (Å, degrees): 5.526 5.526 5.526 90.00 90.00 90.00
Last column: magnetic moment on the atom in μB.
Element x y z (fractional)
Co: 0.500 0.500 0.500  2.14
Ga: 0.000 0.500 0.000  -0.02
Ga: 0.000 0.000 0.500  -0.02
Ga: 0.500 0.000 0.000  -0.02
Br: 0.000 0.000 0.000  0.00

Properties
calculated volume: 169 Å³/cell
uncorrected energy: -2.537 eV/atom



[11]
DFT (PBE-GGA) results for an optimized crystal structure of GaCoBr3.

Lattice parameters (Å, degrees): 5.075 5.075 5.075 90.00 90.00 90.00
Last column: magnetic moment on the atom in μB.
Element x y z (fractional)
Ga: 0.500 0.500 0.500  0.00
Co: 0.000 0.000 0.000  2.02
Br: 0.000 0.500 0.000  0.05
Br: 0.000 0.000 0.500  0.05
Br: 0.500 0.000 0.000  0.05

Properties
calculated volume: 131 Å³/cell
uncorrected energy: -3.235 eV/atom



[12]
DFT (PBE-GGA) results for an optimized crystal structure of Ga3CoBr.

Lattice parameters (Å, degrees): 4.685 4.685 4.685 90.00 90.00 90.00
Element x y z (fractional)
Co: 0.000 0.000 0.000
Ga: 0.000 0.500 0.000
Ga: 0.000 0.000 0.500
Ga: 0.500 0.000 0.000
Br: 0.500 0.500 0.500

Properties
calculated volume: 103 Å³/cell
uncorrected energy: -3.817 eV/atom